AlAg2W: optimized geometry, GGA-PBE.

The structure in POSCAR format:
```
AlAg2W
1.0
-0.6258 -1.8692 3.9213
0.4053 -3.5100 -1.6085
3.8212 0.1328 0.6731
Ag W Al
2 1 1
Cartesian
0.0000 0.0000 0.0000
2.1132 -1.6886 -0.4677
1.5977 -0.8682 2.2972
-0.1103 -2.6896 1.1564
```

Symmetry   No. 123
E   -5.191 eV/atom